An optimized crystal structure of Sc2InS4. Source: Alexandria via LeMat-Bulk, functional PBE.

Computed properties:
Energy in eV per formula unit: -42.21
Distance to the lowest polymorph of the same formula in meV per atom: 0
Uncorrected formation energy in eV/atom: -1.47

Cell lengths 7.6956, 7.6953, 7.7006 Å; angles 120.00, 120.01, 90.02 degrees
With the nearest neighbours (Å) after each atom.
Positions (direct):
1 Sc 0.6250 0.3750 0.7500  6 S 2.60
2 Sc 0.6250 0.8750 0.2500  6 S 2.60-2.61
3 Sc 0.6250 0.3750 0.2500  6 S 2.60
4 Sc 0.1250 0.3750 0.7500  6 S 2.60
5 In 0.2506 0.7495 0.5000  4 S 2.57
6 In 0.9994 0.0006 0.0000  4 S 2.57
7 S 0.8637 0.1367 0.2732  1 In 2.57, 3 Sc 2.60
8 S 0.3863 0.6133 0.2268  1 In 2.57, 3 Sc 2.60
9 S 0.8638 0.5912 0.7273  1 In 2.57, 3 Sc 2.60
10 S 0.8633 0.1362 0.7267  1 In 2.57, 3 Sc 2.60
11 S 0.4087 0.1363 0.2728  1 In 2.57, 3 Sc 2.60-2.61
12 S 0.3862 0.1587 0.7727  1 In 2.57, 3 Sc 2.60
13 S 0.3867 0.6138 0.7733  1 In 2.57, 3 Sc 2.60
14 S 0.8413 0.6137 0.2272  1 In 2.57, 3 Sc 2.60